[1]
VASP calculation (PBE) on an optimized crystal structure of CaMnSi2.

Cell and atoms, written as extended XYZ:
```
4
Lattice="6.412 0.848 -0.477 3.908 5.154 0.477 -4.863 -3.511 2.466" Properties=species:S:1:pos:R:3 pbc="T T T"
Si 9.405 5.470 0.000
Mn 2.379 2.483 1.472
Si 3.551 0.283 0.995
Ca 5.601 3.257 0.000
```

Values from the calculation:
- crystal system = orthorhombic
- symmetry = No. 44
- formation energy without anion corrections (eV/f.u.) = -0.5

[2]
VASP calculation (PBE) on an optimized crystal structure of Ru5W.

Cell and atoms, written as extended XYZ:
```
6
Lattice="0.000 3.553 3.553 3.553 0.000 3.553 3.553 3.553 0.000" Properties=species:S:1:pos:R:3 pbc="T T T"
Ru 4.437 2.669 2.669
Ru 1.776 1.776 1.776
Ru 4.437 4.437 4.437
Ru 2.669 2.669 4.437
W 0.000 0.000 0.000
Ru 2.669 4.437 2.669
```

Values from the calculation:
- crystal system = cubic
- symmetry = No. 216

[3]
VASP calculation (PBE) on an optimized crystal structure of YHgGeP2.

Cell and atoms, written as extended XYZ:
```
5
Lattice="5.249 0.000 0.000 0.000 5.624 0.000 0.000 0.000 5.249" Properties=species:S:1:pos:R:3 pbc="T T T"
Hg 2.624 2.812 2.624
Y 0.000 0.000 0.000
P 0.000 0.000 2.624
P 2.624 0.000 0.000
Ge 0.000 2.812 0.000
```

Values from the calculation:
- crystal system = tetragonal
- symmetry = No. 123

[4]
VASP calculation (PBE) on an optimized crystal structure of Y6P2PtSe3.

Cell and atoms, written as extended XYZ:
```
12
Lattice="4.032 0.000 0.000 0.000 8.222 0.265 -2.016 -2.400 8.604" Properties=species:S:1:pos:R:3 pbc="T T T"
Y 0.000 1.943 5.763
Se 0.000 6.032 3.108
Y 2.016 0.003 2.877
P 0.000 1.954 2.971
Y 2.016 3.878 3.107
Y 0.000 1.967 0.147
Y 2.016 3.855 8.722
P 2.016 3.867 5.899
Y 0.000 5.819 5.993
Pt 2.016 0.000 0.000
Se 2.016 4.111 0.133
Se 2.016 -0.211 5.762
```

Values from the calculation:
- crystal system = monoclinic
- symmetry = No. 12
- formation energy without anion corrections (eV/f.u.) = -20.0

[5]
VASP calculation (PBE) on an optimized crystal structure of RbTaSb2.

Cell and atoms, written as extended XYZ:
```
4
Lattice="0.737 -3.061 4.238 -2.592 -4.579 0.433 2.610 -4.565 -0.463" Properties=species:S:1:pos:R:3 pbc="T T T"
Sb 0.189 -3.051 1.052
Ta 0.378 -6.103 2.104
Rb 0.000 0.000 0.000
Sb 0.567 -9.154 3.155
```

Values from the calculation:
- crystal system = cubic
- symmetry = No. 225
- formation energy without anion corrections (eV/f.u.) = 2.4

[6]
VASP calculation (PBE) on an optimized crystal structure of La4Tb2PmDy.

Cell and atoms, written as extended XYZ:
```
8
Lattice="5.260 0.000 0.000 0.000 5.029 1.399 0.000 2.328 11.133" Properties=species:S:1:pos:R:3 pbc="T T T"
La 2.630 4.351 3.852
La 0.000 5.520 9.382
Tb 2.630 1.164 5.566
Dy 0.000 3.679 6.266
La 2.630 3.007 8.679
La 5.260 1.838 3.149
Pm 2.630 2.515 0.699
Tb 0.000 2.328 11.133
```

Values from the calculation:
- crystal system = orthorhombic
- symmetry = No. 47

[7]
VASP calculation (PBE) on an optimized crystal structure of LiPmTeS.

Cell and atoms, written as extended XYZ:
```
8
Lattice="-3.129 -0.505 -2.991 2.343 -3.435 1.303 -9.125 -2.446 9.958" Properties=species:S:1:pos:R:3 pbc="T T T"
S -1.519 -0.407 1.657
Te -7.706 -4.663 8.847
Pm -8.185 -3.326 5.948
S -6.081 -1.630 6.636
Pm -1.798 -3.080 2.401
Li -4.476 -1.200 4.885
Li -9.039 -2.423 9.864
Te -4.967 -2.463 2.437
```

Values from the calculation:
- crystal system = hexagonal
- symmetry = No. 186
- formation energy without anion corrections (eV/f.u.) = -6.2

[8]
VASP calculation (PBE) on an optimized crystal structure of BeO.

Cell and atoms, written as extended XYZ:
```
12
Lattice="-5.024 -2.335 3.275 4.998 -3.814 -1.376 1.211 0.729 2.378" Properties=species:S:1:pos:R:3 pbc="T T T"
O -1.274 -1.105 1.792
Be -0.042 -2.053 1.456
Be 1.228 -3.367 2.821
O -0.166 -3.695 2.023
Be -2.688 -1.619 2.670
Be 2.596 -1.154 1.445
Be -1.411 -4.266 2.832
O 1.352 -1.724 2.254
Be 3.874 -3.801 1.607
O 2.459 -4.315 2.485
O -2.701 -3.137 3.143
O 3.887 -2.282 1.134
```

Values from the calculation:
- crystal system = hexagonal
- symmetry = No. 176
- formation energy without anion corrections (eV/f.u.) = -5.4

[9]
VASP calculation (PBE) on an optimized crystal structure of AcTbPr2Er.

Cell and atoms, written as extended XYZ:
```
10
Lattice="5.940 0.000 0.000 0.000 9.931 -0.055 0.000 -2.105 6.127" Properties=species:S:1:pos:R:3 pbc="T T T"
Ac 4.455 8.823 0.146
Tb 4.455 -0.286 3.845
Pr 4.455 6.042 2.619
Pr 4.455 3.186 5.095
Tb 1.485 8.111 2.226
Ac 1.485 -0.997 5.926
Pr 1.485 4.640 0.977
Pr 1.485 1.784 3.453
Er 4.455 2.541 1.475
Er 1.485 5.284 4.597
```

Values from the calculation:
- crystal system = monoclinic
- symmetry = No. 11

[10]
VASP calculation (PBE) on an optimized crystal structure of Sr3LiTb2S6.

Cell and atoms, written as extended XYZ:
```
12
Lattice="-2.948 -5.587 3.151 5.077 3.636 3.291 -5.352 4.648 0.604" Properties=species:S:1:pos:R:3 pbc="T T T"
S 0.361 -0.388 4.898
S -2.055 -0.969 1.693
Li 0.000 0.000 0.000
Sr -1.611 1.348 3.523
Sr 1.083 4.444 3.570
S -1.167 3.665 5.354
Sr -4.305 -1.747 3.476
Tb 2.406 0.566 3.245
S 0.649 2.140 1.740
S -3.872 0.557 5.307
S -3.583 3.085 2.148
Tb -0.276 -2.517 3.198
```

Values from the calculation:
- crystal system = monoclinic
- symmetry = No. 12
- formation energy without anion corrections (eV/f.u.) = -23.9

[11]
VASP calculation (PBE) on an optimized crystal structure of CsCu2SbCl8.

Cell and atoms, written as extended XYZ:
```
12
Lattice="-5.568 0.228 -4.804 -6.870 -1.817 1.824 -2.797 8.004 1.920" Properties=species:S:1:pos:R:3 pbc="T T T"
Cu -8.404 4.546 -0.280
Cu -6.832 1.868 -0.780
Cl -9.226 6.079 -1.796
Cl -9.019 2.444 -1.057
Cl -6.010 0.335 0.736
Cl -2.313 0.785 -0.220
Cl -6.216 3.970 -0.003
Cl -9.853 5.074 1.445
Sb 0.000 0.000 0.000
Cs -1.399 4.002 0.960
Cl -5.383 1.340 -2.505
Cl -12.922 5.629 -0.839
```

Values from the calculation:
- crystal system = triclinic
- symmetry = No. 2
- formation energy without anion corrections (eV/f.u.) = -10.1

[12]
VASP calculation (PBE) on an optimized crystal structure of Sr2HfBe.

Cell and atoms, written as extended XYZ:
```
8
Lattice="-7.984 0.781 7.606 -6.337 -6.828 -5.951 -6.218 -4.931 2.013" Properties=species:S:1:pos:R:3 pbc="T T T"
Sr -6.123 -1.717 3.357
Sr -16.231 -7.952 3.862
Sr -7.727 -5.284 -1.109
Sr -10.997 -7.004 1.226
Hf 0.000 0.000 0.000
Be -9.858 -7.392 -1.555
Be -7.161 -3.023 0.827
Hf -10.681 -3.587 5.223
```

Values from the calculation:
- crystal system = tetragonal
- symmetry = No. 122

| no. | final energy (Ry per atom) |
| --- | --- |
| 1 | -0.4134 |
| 2 | -0.6917 |
| 3 | -0.2834 |
| 4 | -0.5276 |
| 5 | -0.3425 |
| 6 | -0.3508 |
| 7 | -0.3706 |
| 8 | -0.5183 |
| 9 | -0.3328 |
| 10 | -0.3974 |
| 11 | -0.2333 |
| 12 | -0.2479 |